1.
A relaxed LiNdPN2 crystal, computed with GGA-PBE.

Lattice parameters (Å, degrees): 3.9865 5.5681 6.2392 102.85 90.00 90.00
Positions (direct):
Li: 0.4874 0.0000 0.2500
Li: 0.5126 0.0000 0.7500
Nd: 0.2509 0.5000 0.7500
Nd: 0.7491 0.5000 0.2500
P: 0.0000 0.0000 0.0000
P: 0.0000 0.0000 0.5000
N: 0.7320 0.7489 0.9557
N: 0.7320 0.2511 0.5443
N: 0.2680 0.7489 0.4557
N: 0.2680 0.2511 0.0443

**E_form (uncorrected)**: -0.4644 eV per atom


2.
A relaxed SrBe2B2 crystal, computed with GGA-PBE.

Lattice parameters (Å, degrees): 3.5771 3.5771 5.6049 71.39 71.39 90.00
Positions (direct):
Sr: 0.0000 0.0000 0.0000
B: 0.7500 0.2500 0.5000
B: 0.2500 0.7500 0.5000
Be: 0.3262 0.3262 0.3476
Be: 0.6738 0.6738 0.6524

**Excess energy over the best structure of this formula in the dataset**: 140.2 meV/atom
**ΔE_f**: 2.04 eV/f.u.


3.
A relaxed Mg2SbSe crystal, computed with GGA-PBE.

Lattice parameters (Å, degrees): 3.4971 4.1123 7.2432 89.96 90.00 90.00
Positions (direct):
Mg: 0.0000 0.7511 0.0072
Mg: 0.0000 0.7489 0.4928
Sb: 0.5000 0.2500 0.2500
Se: 0.5000 0.7500 0.7500

**E_form (uncorrected)**: -0.4849 eV per atom
**Excess energy over the best structure of this formula in the dataset**: 224.7 meV/atom


4.
A relaxed CeTmNp2Sb4 crystal, computed with GGA-PBE.

Lattice parameters (Å, degrees): 4.3952 7.6044 7.6887 109.24 90.00 90.00
Last column: magnetic moment on the atom in μB.
Positions (direct):
Ce: 0.5000 0.5000 0.0000  0.58
Tm: 0.0000 0.0000 0.0000  0.04
Np: 0.5000 0.0000 0.5000  -3.90
Np: 0.0000 0.5000 0.5000  -3.95
Sb: 0.5000 0.2452 0.2485  0.06
Sb: 0.5000 0.7548 0.7515  0.06
Sb: 0.0000 0.2448 0.7485  0.05
Sb: 0.0000 0.7552 0.2515  0.05

**E_form (uncorrected)**: -0.6071 eV per atom